Record 1
CdAg2Pb2 | PBE | optimized geometry

Cell: 3.924 3.924 8.869 Å, 77.22 77.22 90.00°
Sites, in units of the cell vectors:
Pb: 0.394 0.394 0.211
Pb: 0.606 0.606 0.789
Ag: 0.750 0.250 0.500
Ag: 0.250 0.750 0.500
Cd: 0.000 0.000 0.000

Values from the calculation:
Total magnetic moment = 0.000 μB/atom
Crystal system = tetragonal
Energy above the lowest structure with this stoichiometry = 88.8 meV per atom
ΔH_f (0 K) = 161 meV/atom



Record 2
La5SmHg4 | PBE | optimized geometry

Cell: 3.876 3.876 20.715 Å, 90.00 90.00 90.00°
Sites, in units of the cell vectors:
La: 0.500 0.500 0.119
La: 0.500 0.500 0.310
La: 0.500 0.500 0.500
La: 0.500 0.500 0.690
La: 0.500 0.500 0.881
Sm: 0.000 0.000 0.000
Hg: 0.000 0.000 0.211
Hg: 0.000 0.000 0.405
Hg: 0.000 0.000 0.595
Hg: 0.000 0.000 0.789

Values from the calculation:
Total magnetic moment = 0.112 μB/atom
Crystal system = tetragonal
ΔH_f (0 K) = -390 meV/atom



Record 3
Ce2Ni12H3Pt | PBE | optimized geometry

Cell: 6.743 6.743 6.743 Å, 58.78 58.78 58.78°
Sites, in units of the cell vectors:
Ce: 0.602 0.602 0.602
Ce: 0.398 0.398 0.398
Ni: 0.272 0.272 0.896
Ni: 0.853 0.853 0.468
Ni: 0.468 0.853 0.853
Ni: 0.896 0.272 0.272
Ni: 0.853 0.468 0.853
Ni: 0.272 0.896 0.272
Ni: 0.728 0.728 0.104
Ni: 0.147 0.147 0.532
Ni: 0.532 0.147 0.147
Ni: 0.104 0.728 0.728
Ni: 0.147 0.532 0.147
Ni: 0.728 0.104 0.728
H: 0.500 0.000 0.000
H: 0.000 0.500 0.000
H: 0.000 0.000 0.500
Pt: 0.000 0.000 0.000

Values from the calculation:
Total magnetic moment = 0.000 μB/atom
Electronic total energy = -5.51 eV/atom
Crystal system = trigonal